{
  "formula": "FeTeN2",
  "functional": "PBE-GGA",
  "state": "relaxed",
  "lattice": [[-2.572, 2.572, 4.180], [2.572, -2.572, 4.180], [2.572, 2.572, -4.180]],
  "species": ["Fe", "Fe", "Te", "Te", "N", "N", "N", "N"],
  "frac_coords": [[0.000, 0.000, 0.000], [0.750, 0.250, 0.500], [0.250, 0.750, 0.500], [0.500, 0.500, 0.000], [0.007, 0.625, 0.882], [0.375, 0.257, 0.382], [0.743, 0.125, 0.118], [0.875, 0.993, 0.618]],
  "volume_a3_per_atom": 13.8,
  "magnetic_moment_mub_per_cell": 0.0,
  "space_group": "I-42d, No. 122",
  "formation_energy_uncorrected_ev_per_atom": 0.67
}

***

{
  "formula": "FeTeN2",
  "functional": "PBE-GGA",
  "state": "relaxed",
  "lattice": [[1.690, 0.976, 6.002], [-1.690, 0.976, 6.002], [0.000, -1.952, 6.002]],
  "species": ["Fe", "Te", "N", "N"],
  "frac_coords": [[0.000, 0.000, 0.000], [0.500, 0.500, 0.500], [0.103, 0.103, 0.103], [0.897, 0.897, 0.897]],
  "volume_a3_per_atom": 14.8,
  "magnetic_moment_mub_per_cell": 3.1,
  "space_group": "R-3m, No. 166",
  "formation_energy_uncorrected_ev_per_atom": 0.94
}

***

{
  "formula": "FeTe2N",
  "functional": "PBE-GGA",
  "state": "relaxed",
  "lattice": [[-2.739, 2.739, 5.577], [2.739, -2.739, 5.577], [2.739, 2.739, -5.577]],
  "species": ["Fe", "Fe", "Te", "Te", "Te", "Te", "N", "N"],
  "frac_coords": [[0.000, 0.000, 0.000], [0.750, 0.250, 0.500], [0.142, 0.625, 0.017], [0.375, 0.392, 0.517], [0.608, 0.125, 0.983], [0.875, 0.858, 0.483], [0.250, 0.750, 0.500], [0.500, 0.500, 0.000]],
  "volume_a3_per_atom": 20.9,
  "magnetic_moment_mub_per_cell": 3.5,
  "space_group": "I-42d, No. 122",
  "formation_energy_uncorrected_ev_per_atom": 0.77
}

***

{
  "formula": "TlFeTe2N",
  "functional": "PBE-GGA",
  "state": "relaxed",
  "lattice": [[5.856, 0.000, 0.000], [0.000, 5.856, 0.000], [0.000, 0.000, 4.079]],
  "species": ["Tl", "Fe", "Te", "Te", "N"],
  "frac_coords": [[0.000, 0.000, 0.000], [0.500, 0.500, 0.500], [0.000, 0.500, 0.000], [0.500, 0.000, 0.000], [0.000, 0.000, 0.500]],
  "volume_a3_per_atom": 28.0,
  "polymorph_energy_ev_per_atom": 1.4535,
  "magnetic_moment_mub_per_cell": 3.8,
  "space_group": "P4/mmm, No. 123",
  "formation_energy_uncorrected_ev_per_atom": 1.64
}

***

{
  "formula": "TlFeTe2N",
  "functional": "PBE-GGA",
  "state": "relaxed",
  "lattice": [[5.626, 0.000, 0.000], [0.000, 5.626, 0.000], [0.000, 0.000, 3.434]],
  "species": ["Tl", "Fe", "Te", "Te", "N"],
  "frac_coords": [[0.000, 0.000, 0.000], [0.500, 0.500, 0.500], [0.000, 0.500, 0.500], [0.500, 0.000, 0.500], [0.500, 0.500, 0.000]],
  "volume_a3_per_atom": 21.7,
  "polymorph_energy_ev_per_atom": 0.0000,
  "magnetic_moment_mub_per_cell": 0.0,
  "space_group": "P4/mmm, No. 123",
  "formation_energy_uncorrected_ev_per_atom": 0.18
}

***

{
  "formula": "FeTe2WN",
  "functional": "PBE-GGA",
  "state": "relaxed",
  "lattice": [[5.434, 0.000, 0.000], [0.000, 5.434, 0.000], [0.000, 0.000, 3.797]],
  "species": ["Fe", "Te", "Te", "W", "N"],
  "frac_coords": [[0.000, 0.000, 0.000], [0.000, 0.500, 0.500], [0.500, 0.000, 0.500], [0.500, 0.500, 0.500], [0.500, 0.500, 0.000]],
  "volume_a3_per_atom": 22.4,
  "polymorph_energy_ev_per_atom": 0.0000,
  "magnetic_moment_mub_per_cell": 3.7,
  "space_group": "P4/mmm, No. 123",
  "formation_energy_uncorrected_ev_per_atom": 0.69
}

***

{
  "formula": "FeTe2WN",
  "functional": "PBE-GGA",
  "state": "relaxed",
  "lattice": [[5.153, 0.000, 0.000], [0.000, 5.153, 0.000], [0.000, 0.000, 3.384]],
  "species": ["Fe", "Te", "Te", "W", "N"],
  "frac_coords": [[0.000, 0.000, 0.000], [0.000, 0.500, 0.000], [0.500, 0.000, 0.000], [0.500, 0.500, 0.500], [0.000, 0.000, 0.500]],
  "volume_a3_per_atom": 18.0,
  "polymorph_energy_ev_per_atom": 0.0926,
  "magnetic_moment_mub_per_cell": 1.8,
  "space_group": "P4/mmm, No. 123",
  "formation_energy_uncorrected_ev_per_atom": 0.78
}

***

{
  "formula": "ZnFeTe2N",
  "functional": "PBE-GGA",
  "state": "relaxed",
  "lattice": [[5.346, 0.000, 0.000], [0.000, 5.346, 0.000], [0.000, 0.000, 3.387]],
  "species": ["Zn", "Fe", "Te", "Te", "N"],
  "frac_coords": [[0.000, 0.000, 0.000], [0.500, 0.500, 0.500], [0.000, 0.500, 0.500], [0.500, 0.000, 0.500], [0.500, 0.500, 0.000]],
  "volume_a3_per_atom": 19.4,
  "polymorph_energy_ev_per_atom": 0.0000,
  "magnetic_moment_mub_per_cell": 0.0,
  "space_group": "P4/mmm, No. 123",
  "formation_energy_uncorrected_ev_per_atom": 0.24
}

***

{
  "formula": "ZnFeTe2N",
  "functional": "PBE-GGA",
  "state": "relaxed",
  "lattice": [[5.375, 0.000, 0.000], [0.000, 5.375, 0.000], [0.000, 0.000, 3.522]],
  "species": ["Zn", "Fe", "Te", "Te", "N"],
  "frac_coords": [[0.000, 0.000, 0.000], [0.500, 0.500, 0.500], [0.000, 0.500, 0.000], [0.500, 0.000, 0.000], [0.000, 0.000, 0.500]],
  "volume_a3_per_atom": 20.4,
  "polymorph_energy_ev_per_atom": 1.1021,
  "magnetic_moment_mub_per_cell": 0.2,
  "space_group": "P4/mmm, No. 123",
  "formation_energy_uncorrected_ev_per_atom": 1.34
}

***

{
  "formula": "ZrFeTe2N",
  "functional": "PBE-GGA",
  "state": "relaxed",
  "lattice": [[5.747, 0.000, 0.000], [0.000, 5.747, 0.000], [0.000, 0.000, 3.985]],
  "species": ["Zr", "Fe", "Te", "Te", "N"],
  "frac_coords": [[0.000, 0.000, 0.000], [0.500, 0.500, 0.500], [0.000, 0.500, 0.000], [0.500, 0.000, 0.000], [0.000, 0.000, 0.500]],
  "volume_a3_per_atom": 26.3,
  "polymorph_energy_ev_per_atom": 0.4341,
  "magnetic_moment_mub_per_cell": 3.4,
  "space_group": "P4/mmm, No. 123",
  "formation_energy_uncorrected_ev_per_atom": 0.48
}

***

{
  "formula": "ZrFeTe2N",
  "functional": "PBE-GGA",
  "state": "relaxed",
  "lattice": [[5.271, 0.000, 0.000], [0.000, 5.271, 0.000], [0.000, 0.000, 3.474]],
  "species": ["Zr", "Fe", "Te", "Te", "N"],
  "frac_coords": [[0.000, 0.000, 0.000], [0.500, 0.500, 0.500], [0.000, 0.500, 0.500], [0.500, 0.000, 0.500], [0.500, 0.500, 0.000]],
  "volume_a3_per_atom": 19.3,
  "polymorph_energy_ev_per_atom": 0.0000,
  "magnetic_moment_mub_per_cell": 0.4,
  "space_group": "P4/mmm, No. 123",
  "formation_energy_uncorrected_ev_per_atom": 0.05
}

***

{
  "formula": "Th2TiFe2N6",
  "functional": "PBE-GGA",
  "state": "relaxed",
  "lattice": [[2.787, 1.609, 5.321], [-2.787, 1.609, 5.321], [0.000, -3.218, 5.321]],
  "species": ["Th", "Th", "Ti", "Fe", "Fe", "N", "N", "N", "N", "N", "N"],
  "frac_coords": [[0.216, 0.216, 0.216], [0.784, 0.784, 0.784], [0.000, 0.000, 0.000], [0.405, 0.405, 0.405], [0.595, 0.595, 0.595], [0.221, 0.754, 0.754], [0.246, 0.246, 0.779], [0.246, 0.779, 0.246], [0.754, 0.221, 0.754], [0.754, 0.754, 0.221], [0.779, 0.246, 0.246]],
  "volume_a3_per_atom": 13.0,
  "magnetic_moment_mub_per_cell": 4.6,
  "space_group": "R-3m, No. 166",
  "formation_energy_uncorrected_ev_per_atom": -0.69
}

***

{
  "formula": "Ti3Fe3N",
  "functional": "PBE-GGA",
  "state": "relaxed",
  "lattice": [[0.000, 5.548, 5.548], [5.548, 0.000, 5.548], [5.548, 5.548, 0.000]],
  "species": ["Ti", "Ti", "Ti", "Ti", "Ti", "Ti", "Ti", "Ti", "Ti", "Ti", "Ti", "Ti", "Fe", "Fe", "Fe", "Fe", "Fe", "Fe", "Fe", "Fe", "Fe", "Fe", "Fe", "Fe", "N", "N", "N", "N"],
  "frac_coords": [[0.066, 0.066, 0.684], [0.066, 0.684, 0.066], [0.066, 0.684, 0.684], [0.316, 0.316, 0.934], [0.316, 0.934, 0.316], [0.316, 0.934, 0.934], [0.684, 0.066, 0.066], [0.684, 0.066, 0.684], [0.684, 0.684, 0.066], [0.934, 0.316, 0.316], [0.934, 0.316, 0.934], [0.934, 0.934, 0.316], [0.000, 0.500, 0.500], [0.294, 0.294, 0.294], [0.294, 0.294, 0.617], [0.294, 0.617, 0.294], [0.383, 0.706, 0.706], [0.500, 0.000, 0.500], [0.500, 0.500, 0.000], [0.500, 0.500, 0.500], [0.617, 0.294, 0.294], [0.706, 0.383, 0.706], [0.706, 0.706, 0.383], [0.706, 0.706, 0.706], [0.000, 0.000, 0.000], [0.000, 0.000, 0.500], [0.000, 0.500, 0.000], [0.500, 0.000, 0.000]],
  "volume_a3_per_atom": 12.2,
  "magnetic_moment_mub_per_cell": 15.5,
  "space_group": "Fd-3m, No. 227",
  "formation_energy_uncorrected_ev_per_atom": -0.72
}

***

{
  "formula": "TiFe3N",
  "functional": "PBE-GGA",
  "state": "relaxed",
  "lattice": [[3.752, 0.000, 0.000], [0.000, 3.752, 0.000], [0.000, 0.000, 3.752]],
  "species": ["Ti", "Fe", "Fe", "Fe", "N"],
  "frac_coords": [[0.000, 0.000, 0.000], [0.000, 0.500, 0.500], [0.500, 0.000, 0.500], [0.500, 0.500, 0.000], [0.500, 0.500, 0.500]],
  "volume_a3_per_atom": 10.6,
  "polymorph_energy_ev_per_atom": 0.0000,
  "magnetic_moment_mub_per_cell": 1.5,
  "space_group": "Pm-3m, No. 221",
  "formation_energy_uncorrected_ev_per_atom": -0.27
}

***

{
  "formula": "Ti2FeN",
  "functional": "PBE-GGA",
  "state": "relaxed",
  "lattice": [[-2.832, 2.832, 3.473], [2.832, -2.832, 3.473], [2.832, 2.832, -3.473]],
  "species": ["Ti", "Ti", "Ti", "Ti", "Fe", "Fe", "N", "N"],
  "frac_coords": [[0.059, 0.625, 0.934], [0.375, 0.309, 0.434], [0.691, 0.125, 0.066], [0.875, 0.941, 0.566], [0.250, 0.750, 0.500], [0.500, 0.500, 0.000], [0.000, 0.000, 0.000], [0.750, 0.250, 0.500]],
  "volume_a3_per_atom": 13.9,
  "magnetic_moment_mub_per_cell": 1.4,
  "space_group": "I-42d, No. 122",
  "formation_energy_uncorrected_ev_per_atom": -0.35
}

***

{
  "formula": "TiFeN2",
  "functional": "PBE-GGA",
  "state": "relaxed",
  "lattice": [[2.946, 0.000, 0.000], [-1.473, 2.552, 0.000], [0.000, 0.000, 9.342]],
  "species": ["Ti", "Ti", "Fe", "Fe", "N", "N", "N", "N"],
  "frac_coords": [[0.333, 0.667, 0.250], [0.667, 0.333, 0.750], [0.000, 0.000, 0.000], [0.000, 0.000, 0.500], [0.333, 0.667, 0.613], [0.333, 0.667, 0.887], [0.667, 0.333, 0.113], [0.667, 0.333, 0.387]],
  "volume_a3_per_atom": 8.8,
  "magnetic_moment_mub_per_cell": 0.4,
  "space_group": "P6_3/mmc, No. 194",
  "formation_energy_uncorrected_ev_per_atom": -0.60
}

***

{
  "formula": "TiFe4N4",
  "functional": "PBE-GGA",
  "state": "relaxed",
  "lattice": [[5.118, 0.000, 0.000], [2.200, 4.781, 0.000], [1.903, 0.579, 7.130]],
  "species": ["Ti", "Ti", "Fe", "Fe", "Fe", "Fe", "Fe", "Fe", "Fe", "Fe", "N", "N", "N", "N", "N", "N", "N", "N"],
  "frac_coords": [[0.052, 0.297, 0.203], [0.948, 0.703, 0.797], [0.073, 0.782, 0.397], [0.284, 0.745, 0.030], [0.365, 0.177, 0.782], [0.444, 0.774, 0.576], [0.556, 0.226, 0.424], [0.635, 0.823, 0.218], [0.716, 0.255, 0.970], [0.927, 0.218, 0.603], [0.124, 0.973, 0.810], [0.256, 0.503, 0.582], [0.290, 0.057, 0.389], [0.308, 0.395, 0.972], [0.692, 0.605, 0.028], [0.710, 0.943, 0.611], [0.744, 0.497, 0.418], [0.876, 0.027, 0.190]],
  "volume_a3_per_atom": 9.7,
  "magnetic_moment_mub_per_cell": 3.4,
  "space_group": "P-1, No. 2",
  "formation_energy_uncorrected_ev_per_atom": -0.22
}

***

{
  "formula": "Ti8FeN2",
  "functional": "PBE-GGA",
  "state": "relaxed",
  "lattice": [[5.649, -2.849, 0.000], [5.649, 2.849, 0.000], [-1.091, 0.000, 5.245]],
  "species": ["Ti", "Ti", "Ti", "Ti", "Ti", "Ti", "Ti", "Ti", "Fe", "N", "N"],
  "frac_coords": [[0.130, 0.130, 0.689], [0.158, 0.659, 0.773], [0.318, 0.318, 0.222], [0.341, 0.842, 0.227], [0.659, 0.158, 0.773], [0.682, 0.682, 0.778], [0.842, 0.341, 0.227], [0.870, 0.870, 0.311], [0.500, 0.500, 0.500], [0.299, 0.299, 0.851], [0.701, 0.701, 0.149]],
  "volume_a3_per_atom": 15.3,
  "magnetic_moment_mub_per_cell": 0.0,
  "space_group": "C2/m, No. 12",
  "formation_energy_uncorrected_ev_per_atom": -0.37
}

***

{
  "formula": "TiFeN",
  "functional": "PBE-GGA",
  "state": "relaxed",
  "lattice": [[3.227, -3.481, 0.000], [3.227, 3.481, 0.000], [0.000, 0.000, 2.929]],
  "species": ["Ti", "Ti", "Fe", "Fe", "N", "N"],
  "frac_coords": [[0.207, 0.793, 0.000], [0.793, 0.207, 0.000], [0.301, 0.301, 0.500], [0.699, 0.699, 0.500], [0.000, 0.000, 0.500], [0.500, 0.500, 0.000]],
  "volume_a3_per_atom": 11.0,
  "magnetic_moment_mub_per_cell": 3.7,
  "space_group": "Cmmm, No. 65",
  "formation_energy_uncorrected_ev_per_atom": -0.76
}

***

{
  "formula": "Ti5FeN6",
  "functional": "PBE-GGA",
  "state": "relaxed",
  "lattice": [[2.602, -4.505, 0.000], [2.602, 4.505, 0.000], [-1.732, 0.000, 4.908]],
  "species": ["Ti", "Ti", "Ti", "Ti", "Ti", "Fe", "N", "N", "N", "N", "N", "N"],
  "frac_coords": [[0.000, 0.000, 0.000], [0.166, 0.834, 0.500], [0.338, 0.662, 0.000], [0.662, 0.338, 0.000], [0.834, 0.166, 0.500], [0.500, 0.500, 0.500], [0.076, 0.415, 0.245], [0.245, 0.245, 0.751], [0.415, 0.076, 0.245], [0.585, 0.924, 0.755], [0.755, 0.755, 0.249], [0.924, 0.585, 0.755]],
  "volume_a3_per_atom": 9.6,
  "magnetic_moment_mub_per_cell": 3.9,
  "space_group": "C2/m, No. 12",
  "formation_energy_uncorrected_ev_per_atom": -1.40
}

***

{
  "formula": "Ti6FeN4",
  "functional": "PBE-GGA",
  "state": "relaxed",
  "lattice": [[1.501, -5.089, 0.000], [1.501, 5.089, 0.000], [0.000, 0.000, 15.854]],
  "species": ["Ti", "Ti", "Ti", "Ti", "Ti", "Ti", "Ti", "Ti", "Ti", "Ti", "Ti", "Ti", "Fe", "Fe", "N", "N", "N", "N", "N", "N", "N", "N"],
  "frac_coords": [[0.000, 0.000, 0.000], [0.000, 0.000, 0.500], [0.157, 0.843, 0.750], [0.276, 0.724, 0.081], [0.276, 0.724, 0.419], [0.457, 0.543, 0.653], [0.457, 0.543, 0.847], [0.543, 0.457, 0.153], [0.543, 0.457, 0.347], [0.724, 0.276, 0.581], [0.724, 0.276, 0.919], [0.843, 0.157, 0.250], [0.163, 0.837, 0.250], [0.837, 0.163, 0.750], [0.092, 0.908, 0.622], [0.092, 0.908, 0.878], [0.362, 0.638, 0.540], [0.362, 0.638, 0.960], [0.638, 0.362, 0.040], [0.638, 0.362, 0.460], [0.908, 0.092, 0.122], [0.908, 0.092, 0.378]],
  "volume_a3_per_atom": 11.0,
  "magnetic_moment_mub_per_cell": 0.0,
  "space_group": "Cmcm, No. 63",
  "formation_energy_uncorrected_ev_per_atom": -1.38
}

***

{
  "formula": "TiFeN2",
  "functional": "PBE-GGA",
  "state": "relaxed",
  "lattice": [[1.527, 0.881, 5.775], [-1.527, 0.881, 5.775], [0.000, -1.763, 5.775]],
  "species": ["Ti", "Fe", "N", "N"],
  "frac_coords": [[0.000, 0.000, 0.000], [0.500, 0.500, 0.500], [0.395, 0.395, 0.395], [0.605, 0.605, 0.605]],
  "volume_a3_per_atom": 11.7,
  "magnetic_moment_mub_per_cell": 3.5,
  "space_group": "R-3m, No. 166",
  "formation_energy_uncorrected_ev_per_atom": -0.51
}

***

{
  "formula": "Ti2FeN",
  "functional": "PBE-GGA",
  "state": "relaxed",
  "lattice": [[1.469, 0.848, 6.786], [-1.469, 0.848, 6.786], [0.000, -1.696, 6.786]],
  "species": ["Ti", "Ti", "Fe", "N"],
  "frac_coords": [[0.109, 0.109, 0.109], [0.891, 0.891, 0.891], [0.000, 0.000, 0.000], [0.500, 0.500, 0.500]],
  "volume_a3_per_atom": 12.7,
  "magnetic_moment_mub_per_cell": 1.1,
  "space_group": "R-3m, No. 166",
  "formation_energy_uncorrected_ev_per_atom": -0.60
}

***

{
  "formula": "TiFeN3",
  "functional": "PBE-GGA",
  "state": "relaxed",
  "lattice": [[3.618, 0.000, 0.000], [0.000, 3.618, 0.000], [0.000, 0.000, 3.618]],
  "species": ["Ti", "Fe", "N", "N", "N"],
  "frac_coords": [[0.000, 0.000, 0.000], [0.500, 0.500, 0.500], [0.000, 0.500, 0.500], [0.500, 0.000, 0.500], [0.500, 0.500, 0.000]],
  "volume_a3_per_atom": 9.5,
  "magnetic_moment_mub_per_cell": 2.5,
  "space_group": "Pm-3m, No. 221",
  "formation_energy_uncorrected_ev_per_atom": 0.50
}